## HfZr4Fe5 (PBE)

Data for a geometry-optimized HfZr4Fe5 structure.

Structure (extended XYZ):
```
10
Lattice="3.173 0.000 0.000 0.000 3.173 0.000 0.000 0.000 15.768" Properties=species:S:1:pos:R:3 pbc="T T T"
Hf 0.000 0.000 0.000
Zr 0.000 0.000 3.145
Zr 0.000 0.000 6.305
Zr 0.000 0.000 9.464
Zr 0.000 0.000 12.623
Fe 1.587 1.587 1.545
Fe 1.587 1.587 4.715
Fe 1.587 1.587 7.884
Fe 1.587 1.587 11.054
Fe 1.587 1.587 14.224
```

Results
**E_form**: -0.211 eV per atom